# PBE-GGA ThMgTe2N, relaxed
data_ThMgTe2N
_space_group_name_H-M_alt 'P 4/n m m'
_space_group_IT_number 129
_cell_length_a 4.1366
_cell_length_b 4.1366
_cell_length_c 15.0651
_cell_angle_alpha 90.00
_cell_angle_beta 90.00
_cell_angle_gamma 90.00
loop_
_space_group_symop_operation_xyz
'x,y,z'
'-x,-y,-z'
'-y+1/2,x,z'
'y+1/2,-x,-z'
'-x+1/2,-y+1/2,z'
'x+1/2,y+1/2,-z'
'y,-x+1/2,z'
'-y,x+1/2,-z'
'x+1/2,-y,-z'
'-x+1/2,y,z'
'-y,-x,-z'
'y,x,z'
'-x,y+1/2,-z'
'x,-y+1/2,z'
'y+1/2,x+1/2,-z'
'-y+1/2,-x+1/2,z'
loop_
_atom_site_label
_atom_site_type_symbol
_atom_site_fract_x
_atom_site_fract_y
_atom_site_fract_z
Th1 Th 0.2500 0.2500 0.0758
Mg1 Mg 0.2500 0.2500 0.6024
Te1 Te 0.2500 0.2500 0.4044
Te2 Te 0.2500 0.2500 0.7929
N1 N 0.2500 0.7500 0.0000
# Spin magnetization in μB/cell: 0.000
# Uncorrected energy in eV per atom: -5.87
# D(E_F) in states/eV/atom: 0.78